A plane-wave DFT calculation with PBE was carried out for crystalline NiGeB2 at its relaxed geometry.

Lattice parameters (Å, degrees): 3.8911 3.8911 3.8911 60.00 60.00 60.00
Sites, in units of the cell vectors:
Ni (0.0000, 0.0000, 0.0000)
Ge (0.2500, 0.2500, 0.2500)
B (0.5000, 0.5000, 0.5000)
B (0.7500, 0.7500, 0.7500)

**Space group**: No. 216
**Total energy**: -0.1720 Ha/atom
**Total magnetization**: 0.0 μB/cell
**Volume**: 10.4 Å³/atom



A plane-wave DFT calculation with PBE was carried out for crystalline NiGeB4 at its relaxed geometry.

Lattice parameters (Å, degrees): 3.0524 3.0524 6.5199 90.00 90.00 120.00
Sites, in units of the cell vectors:
Ni (0.0000, 0.0000, 0.0000)
Ge (0.0000, 0.0000, 0.5000)
B (0.3333, 0.6667, 0.2254)
B (0.3333, 0.6667, 0.7746)
B (0.6667, 0.3333, 0.2254)
B (0.6667, 0.3333, 0.7746)

**Space group**: No. 191
**Total energy**: -0.2149 Ha/atom
**Total magnetization**: 0.0 μB/cell
**E above lowest polymorph**: 0.0 kJ/mol of formula units
**Volume**: 8.8 Å³/atom